# Mn4CoAs

An optimized crystal structure of Mn4CoAs (GGA-PBE, Alexandria).

Lattice parameters (Å, degrees): 4.754 4.754 4.754 60.00 60.00 60.00
Fractional positions:
1 Mn 0.125 0.125 0.125
2 Mn 0.125 0.125 0.625
3 Mn 0.125 0.625 0.125
4 Mn 0.625 0.125 0.125
5 Co 0.500 0.500 0.500
6 As 0.750 0.750 0.750

## Properties
- VASP energy: -7.68 eV/atom
- ρ: 7.73 g/cm3
- SG: F-43m (216)



# Mn3CoAs

An optimized crystal structure of Mn3CoAs (GGA-PBE, Alexandria).

Lattice parameters (Å, degrees): 4.429 4.429 4.429 90.00 90.00 90.00
Fractional positions:
1 Mn 0.000 0.000 0.500
2 Mn 0.000 0.500 0.000
3 Mn 0.500 0.000 0.000
4 Co 0.000 0.000 0.000
5 As 0.500 0.500 0.500

## Properties
- VASP energy: -7.06 eV/atom
- ρ: 5.71 g/cm3
- SG: Pm-3m (221)



# MnCoAs4

An optimized crystal structure of MnCoAs4 (GGA-PBE, Alexandria).

Lattice parameters (Å, degrees): 5.867 5.964 5.885 90.00 93.66 90.00
Fractional positions:
1 Mn 0.000 0.000 0.000
2 Mn 0.000 0.500 0.500
3 Co 0.500 0.000 0.500
4 Co 0.500 0.500 0.000
5 As 0.132 0.122 0.398
6 As 0.132 0.378 0.898
7 As 0.394 0.629 0.364
8 As 0.394 0.871 0.864
9 As 0.606 0.129 0.136
10 As 0.606 0.371 0.636
11 As 0.868 0.622 0.102
12 As 0.868 0.878 0.602

## Properties
- VASP energy: -5.93 eV/atom
- ρ: 6.68 g/cm3
- SG: P2_1/c (14)



# Mn2CoAs2

An optimized crystal structure of Mn2CoAs2 (GGA-PBE, Alexandria).

Lattice parameters (Å, degrees): 6.085 6.085 3.940 90.00 90.00 90.00
Fractional positions:
1 Mn 0.165 0.335 0.000
2 Mn 0.335 0.835 0.000
3 Mn 0.665 0.165 0.000
4 Mn 0.835 0.665 0.000
5 Co 0.000 0.000 0.500
6 Co 0.500 0.500 0.500
7 As 0.147 0.647 0.500
8 As 0.353 0.147 0.500
9 As 0.647 0.853 0.500
10 As 0.853 0.353 0.500

## Properties
- VASP energy: -6.93 eV/atom
- ρ: 7.26 g/cm3
- SG: P4/mbm (127)